Material: Sr8Au
Method: DFT, PBE-GGA
State: relaxed

Lattice parameters (Å, degrees): 10.097 10.097 10.097 92.71 92.71 154.88
Element x y z (fractional)
Sr  0.642  0.358  0.000
Sr  0.336  0.000  0.336
Sr  0.642  0.642  0.284
Sr  0.358  0.358  0.716
Au  0.000  0.000  0.000
Sr  0.358  0.642  0.000
Sr  0.000  0.664  0.664
Sr  0.664  0.000  0.664
Sr  0.000  0.336  0.336

Results
Energy of formation   -80.1 meV/atom
Energy   -17.45 eV for the cell shown


Material: Pu2ZnGaRu2
Method: DFT, PBE-GGA
State: relaxed

Lattice parameters (Å, degrees): 5.676 5.349 8.325 108.74 109.93 90.00
Last column: magnetic moment on the atom in μB.
Element x y z (fractional)
Pu  0.171  0.412  0.342  4.99
Ru  0.872  0.130  0.744  -0.49
Ru  0.628  0.386  0.256  -0.49
Ru  0.128  0.870  0.256  -0.49
Ga  0.250  0.500  0.000  0.03
Ru  0.372  0.614  0.744  -0.49
Ga  0.750  0.500  0.000  0.03
Zn  0.750  0.000  0.000  0.03
Pu  0.329  0.070  0.658  4.99
Zn  0.250  0.000  0.000  0.03
Pu  0.671  0.930  0.342  4.99
Pu  0.829  0.588  0.658  4.99

Results
Energy of formation   -224.1 meV/atom
Energy   -105.72 eV for the cell shown


Material: Er2Tm3Zr2
Method: DFT, PBE-GGA
State: relaxed

Lattice parameters (Å, degrees): 5.141 3.370 11.690 90.00 77.30 90.00
Element x y z (fractional)
Tm  0.156  0.000  0.688
Tm  0.000  0.000  0.000
Zr  0.279  0.500  0.441
Tm  0.844  0.000  0.312
Er  0.577  0.500  0.847
Er  0.423  0.500  0.153
Zr  0.721  0.500  0.559

Results
Energy of formation   41.2 meV/atom
Energy   -39.35 eV for the cell shown


Material: Zn2Ni2Os
Method: DFT, PBE-GGA
State: relaxed

Lattice parameters (Å, degrees): 6.975 6.975 2.617 90.00 90.00 90.00
Element x y z (fractional)
Ni  0.625  0.125  0.000
Zn  0.328  0.172  0.500
Ni  0.875  0.625  0.000
Zn  0.828  0.328  0.500
Ni  0.375  0.875  0.000
Zn  0.672  0.828  0.500
Ni  0.125  0.375  0.000
Os  0.000  0.000  0.000
Zn  0.172  0.672  0.500
Os  0.500  0.500  0.000

Results
Energy of formation   184.4 meV/atom
ΔE to the lowest computed polymorph   68 meV/atom
Energy   -48.84 eV for the cell shown